(1)
This record from Alexandria describes a geometry-optimized CaVSb2Rh structure. The functional is PBE.

abc: 5.2441 5.2441 4.7718
angles: 90.00 90.00 90.00
Closest atoms and distances in Å follow each position.
Element x y z (fractional)
Ca (0.0000, 0.0000, 0.0000)  8 Sb 3.55, 4 V 3.71
V (0.5000, 0.5000, 0.0000)  2 Rh 2.39
Sb (0.0000, 0.5000, 0.5000)  2 Rh 2.62
Sb (0.5000, 0.0000, 0.5000)  2 Rh 2.62
Rh (0.5000, 0.5000, 0.5000)  2 V 2.39, 4 Sb 2.62

Computed properties:
* N(E_F): 5.225 states/eV per cell
* crystal system: tetragonal
* raw total energy: -26.2 eV/cell
* symmetry: P4/mmm (123)
* formation energy without anion corrections: 0.106 eV/atom


(2)
This record from Alexandria describes a geometry-optimized Li4PmP2 structure. The functional is PBE.

abc: 7.5552 7.5552 4.0549
angles: 90.00 90.00 90.00
Closest atoms and distances in Å follow each position.
Element x y z (fractional)
Li (0.0955, 0.3330, 0.0000)  3 P 2.50-2.52, 1 Li 2.54
Li (0.1670, 0.5955, 0.5000)  3 P 2.50-2.52, 1 Li 2.54
Li (0.3330, 0.0955, 0.0000)  3 P 2.50-2.52, 1 Li 2.54
Li (0.4045, 0.8330, 0.5000)  3 P 2.50-2.52, 1 Li 2.54
Li (0.5955, 0.1670, 0.5000)  3 P 2.50-2.52, 1 Li 2.54
Li (0.6670, 0.9045, 0.0000)  3 P 2.50-2.52, 1 Li 2.54
Li (0.8330, 0.4045, 0.5000)  3 P 2.50-2.52, 1 Li 2.54
Li (0.9045, 0.6670, 0.0000)  3 P 2.50-2.52, 1 Li 2.54
Pm (0.0000, 0.0000, 0.5000)  6 P 3.05-3.07, 12 Li 3.31
Pm (0.5000, 0.5000, 0.0000)  6 P 3.05-3.07, 12 Li 3.31
P (0.2126, 0.7874, 0.0000)  6 Li 2.50-2.52
P (0.2874, 0.2874, 0.5000)  6 Li 2.50-2.52
P (0.7126, 0.7126, 0.5000)  6 Li 2.50-2.52
P (0.7874, 0.2126, 0.0000)  6 Li 2.50-2.52

Computed properties:
* N(E_F): 7.625 states/eV per cell
* crystal system: tetragonal
* raw total energy: -57.9 eV/cell
* symmetry: P4_2/mnm (136)
* ΔH_f (0 K): -0.820 eV/atom


(3)
This record from Alexandria describes a geometry-optimized Ho2ScSnC structure. The functional is PBE.

abc: 4.8567 4.8567 4.5738
angles: 90.00 90.00 90.00
Closest atoms and distances in Å follow each position.
Element x y z (fractional)
Ho (0.0000, 0.5000, 0.0000)  2 C 2.43
Ho (0.5000, 0.0000, 0.0000)  2 C 2.43
Sc (0.0000, 0.0000, 0.5000)  2 C 2.29
Sn (0.5000, 0.5000, 0.5000)  8 Ho 3.34, 4 Sc 3.43
C (0.0000, 0.0000, 0.0000)  2 Sc 2.29, 4 Ho 2.43

Computed properties:
* N(E_F): 2.339 states/eV per cell
* crystal system: tetragonal
* raw total energy: -32.1 eV/cell
* symmetry: P4/mmm (123)
* ΔH_f (0 K): -0.681 eV/atom


(4)
This record from Alexandria describes a geometry-optimized HfMgCN2 structure. The functional is PBE.

abc: 4.1709 4.1709 4.2668
angles: 90.00 90.00 90.00
Closest atoms and distances in Å follow each position.
Element x y z (fractional)
Hf (0.0000, 0.0000, 0.0000)  4 N 2.09, 2 C 2.13
Mg (0.5000, 0.5000, 0.5000)  4 C 2.95, 8 N 2.98
C (0.0000, 0.0000, 0.5000)  2 Hf 2.13
N (0.0000, 0.5000, 0.0000)  2 Hf 2.09
N (0.5000, 0.0000, 0.0000)  2 Hf 2.09

Computed properties:
* N(E_F): 2.858 states/eV per cell
* crystal system: tetragonal
* raw total energy: -33.7 eV/cell
* symmetry: P4/mmm (123)
* formation energy without anion corrections: 0.737 eV/atom


(5)
This record from Alexandria describes a geometry-optimized Ho4AlAg structure. The functional is PBE.

abc: 12.0729 3.5513 8.7474
angles: 90.00 122.36 90.00
Closest atoms and distances in Å follow each position.
Element x y z (fractional)
Ho (0.0000, 0.0000, 0.0000)  2 Ag 3.08, 3 Al 3.18-3.40
Ho (0.0522, 0.5000, 0.6997)  2 Al 3.05, 1 Ho 3.29, 1 Ag 3.29
Ho (0.2481, 0.0000, 0.5997)  2 Ag 3.07, 1 Al 3.17, 3 Ho 3.29-3.42
Ho (0.3147, 0.5000, 0.3037)  3 Ag 3.13-3.46, 2 Al 3.15
Ho (0.5000, 0.5000, 0.0000)  2 Ag 3.08, 3 Al 3.18-3.40
Ho (0.5522, 0.0000, 0.6997)  2 Al 3.05, 1 Ho 3.29, 1 Ag 3.29
Ho (0.7481, 0.5000, 0.5997)  2 Ag 3.07, 1 Al 3.17, 3 Ho 3.29-3.42
Ho (0.8147, 0.0000, 0.3037)  3 Ag 3.13-3.46, 2 Al 3.15
Al (0.2740, 0.0000, 0.9799)  1 Ag 2.88, 7 Ho 3.05-3.18
Al (0.7740, 0.5000, 0.9799)  1 Ag 2.88, 7 Ho 3.05-3.18
Ag (0.0298, 0.5000, 0.3075)  1 Al 2.88, 6 Ho 3.07-3.13
Ag (0.5298, 0.0000, 0.3075)  1 Al 2.88, 6 Ho 3.07-3.13

Computed properties:
* N(E_F): 12.498 states/eV per cell
* crystal system: monoclinic
* energy above the most stable polymorph in this dataset: 0 meV/atom
* raw total energy: -52.2 eV/cell
* symmetry: Cm (8)
* ΔH_f (0 K): -0.201 eV/atom


(6)
This record from Alexandria describes a geometry-optimized La12TbSn3 structure. The functional is PBE.

abc: 5.0598 5.0598 20.4835
angles: 90.00 90.00 90.00
Closest atoms and distances in Å follow each position.
Element x y z (fractional)
La (0.0000, 0.0000, 0.0000)  8 La 3.56, 4 Sn 3.58
La (0.0000, 0.0000, 0.2442)  8 La 3.56-3.59, 4 Sn 3.58
La (0.0000, 0.0000, 0.5000)  4 Tb 3.58, 8 La 3.70
La (0.0000, 0.0000, 0.7558)  8 La 3.56-3.59, 4 Sn 3.58
La (0.0000, 0.5000, 0.1221)  8 La 3.56-3.58, 4 Sn 3.56-3.57
La (0.0000, 0.5000, 0.3683)  2 Sn 3.57, 8 La 3.58-3.70, 2 Tb 3.70
La (0.0000, 0.5000, 0.6317)  2 Sn 3.57, 8 La 3.58-3.70, 2 Tb 3.70
La (0.0000, 0.5000, 0.8779)  8 La 3.56-3.58, 4 Sn 3.56-3.57
La (0.5000, 0.0000, 0.1221)  8 La 3.56-3.58, 4 Sn 3.56-3.57
La (0.5000, 0.0000, 0.3683)  2 Sn 3.57, 8 La 3.58-3.70, 2 Tb 3.70
La (0.5000, 0.0000, 0.6317)  2 Sn 3.57, 8 La 3.58-3.70, 2 Tb 3.70
La (0.5000, 0.0000, 0.8779)  8 La 3.56-3.58, 4 Sn 3.56-3.57
Tb (0.5000, 0.5000, 0.5000)  12 La 3.58-3.70
Sn (0.5000, 0.5000, 0.0000)  12 La 3.56-3.58
Sn (0.5000, 0.5000, 0.2450)  12 La 3.57-3.58
Sn (0.5000, 0.5000, 0.7550)  12 La 3.57-3.58

Computed properties:
* N(E_F): 20.155 states/eV per cell
* crystal system: tetragonal
* raw total energy: -81.4 eV/cell
* symmetry: P4/mmm (123)
* ΔH_f (0 K): -0.352 eV/atom


(7)
This record from Alexandria describes a geometry-optimized Tb4Dy19Tm6 structure. The functional is PBE.

abc: 10.7248 10.7248 10.7248
angles: 109.47 109.47 109.47
Closest atoms and distances in Å follow each position.
Element x y z (fractional)
Tb (0.0000, 0.0000, 0.3574)  9 Dy 3.30-3.40
Tb (0.0000, 0.3574, 0.0000)  9 Dy 3.30-3.40
Tb (0.3574, 0.0000, 0.0000)  9 Dy 3.30-3.40
Tb (0.6426, 0.6426, 0.6426)  9 Dy 3.30-3.40
Dy (0.0000, 0.0000, 0.0000)  6 Dy 3.26
Dy (0.0000, 0.2631, 0.2631)  5 Dy 3.26-3.52, 2 Tb 3.30, 2 Tm 3.33
Dy (0.0000, 0.7369, 0.7369)  5 Dy 3.26-3.52, 2 Tb 3.30, 2 Tm 3.33
Dy (0.0127, 0.2143, 0.6730)  2 Tm 3.17-3.55, 2 Tb 3.32-3.40, 2 Dy 3.37-3.52
Dy (0.2016, 0.9873, 0.6603)  2 Tm 3.17-3.55, 2 Tb 3.32-3.40, 2 Dy 3.37-3.52
Dy (0.2143, 0.6730, 0.0127)  2 Tm 3.17-3.55, 2 Tb 3.32-3.40, 2 Dy 3.37-3.52
Dy (0.2631, 0.0000, 0.2631)  5 Dy 3.26-3.52, 2 Tb 3.30, 2 Tm 3.33
Dy (0.2631, 0.2631, 0.0000)  5 Dy 3.26-3.52, 2 Tb 3.30, 2 Tm 3.33
Dy (0.3270, 0.5413, 0.3397)  2 Tm 3.17-3.55, 2 Tb 3.32-3.40, 2 Dy 3.37-3.52
Dy (0.3397, 0.3270, 0.5413)  2 Tm 3.17-3.55, 2 Tb 3.32-3.40, 2 Dy 3.37-3.52
Dy (0.4587, 0.7857, 0.7984)  2 Tm 3.17-3.55, 2 Tb 3.32-3.40, 2 Dy 3.37-3.52
Dy (0.5413, 0.3397, 0.3270)  2 Tm 3.17-3.55, 2 Tb 3.32-3.40, 2 Dy 3.37-3.52
Dy (0.6603, 0.2016, 0.9873)  2 Tm 3.17-3.55, 2 Tb 3.32-3.40, 2 Dy 3.37-3.52
Dy (0.6730, 0.0127, 0.2143)  2 Tm 3.17-3.55, 2 Tb 3.32-3.40, 2 Dy 3.37-3.52
Dy (0.7369, 0.0000, 0.7369)  5 Dy 3.26-3.52, 2 Tb 3.30, 2 Tm 3.33
Dy (0.7369, 0.7369, 0.0000)  5 Dy 3.26-3.52, 2 Tb 3.30, 2 Tm 3.33
Dy (0.7857, 0.7984, 0.4587)  2 Tm 3.17-3.55, 2 Tb 3.32-3.40, 2 Dy 3.37-3.52
Dy (0.7984, 0.4587, 0.7857)  2 Tm 3.17-3.55, 2 Tb 3.32-3.40, 2 Dy 3.37-3.52
Dy (0.9873, 0.6603, 0.2016)  2 Tm 3.17-3.55, 2 Tb 3.32-3.40, 2 Dy 3.37-3.52
Tm (0.1269, 0.5000, 0.6269)  1 Tm 3.14, 4 Dy 3.17-3.33
Tm (0.3731, 0.8731, 0.5000)  1 Tm 3.14, 4 Dy 3.17-3.33
Tm (0.5000, 0.3731, 0.8731)  1 Tm 3.14, 4 Dy 3.17-3.33
Tm (0.5000, 0.6269, 0.1269)  1 Tm 3.14, 4 Dy 3.17-3.33
Tm (0.6269, 0.1269, 0.5000)  1 Tm 3.14, 4 Dy 3.17-3.33
Tm (0.8731, 0.5000, 0.3731)  1 Tm 3.14, 4 Dy 3.17-3.33

Computed properties:
* N(E_F): 44.517 states/eV per cell
* crystal system: cubic
* raw total energy: -121.3 eV/cell
* symmetry: I23 (197)
* ΔH_f (0 K): 0.395 eV/atom


(8)
This record from Alexandria describes a geometry-optimized MoPb2Cl structure. The functional is PBE.

abc: 3.1208 5.2172 5.8620
angles: 90.00 105.03 90.00
Closest atoms and distances in Å follow each position.
Element x y z (fractional)
Mo (0.0000, 0.0000, 0.0000)  7 Pb 3.00-3.09, 2 Mo 3.12
Pb (0.2751, 0.0000, 0.5295)  3 Mo 3.00-3.09, 4 Cl 3.02-3.06, 2 Pb 3.12
Pb (0.5139, 0.5000, 0.0298)  1 Cl 2.81, 4 Mo 3.04-3.05, 2 Pb 3.12
Cl (0.7639, 0.5000, 0.5265)  5 Pb 2.81-3.06, 2 Cl 3.12

Computed properties:
* N(E_F): 2.916 states/eV per cell
* crystal system: monoclinic
* energy above the most stable polymorph in this dataset: 59 meV/atom
* raw total energy: -18.9 eV/cell
* symmetry: Pm (6)
* formation energy without anion corrections: 0.287 eV/atom


(9)
This record from Alexandria describes a geometry-optimized B2C3 structure. The functional is PBE.

abc: 10.5078 10.5078 10.5078
angles: 166.55 166.09 19.39
Closest atoms and distances in Å follow each position.
Element x y z (fractional)
B (0.0000, 0.0000, 0.0000)  2 C 1.62
B (0.2036, 0.2036, 0.0000)  4 C 1.64-1.66
B (0.6019, 0.6019, 0.0000)  4 C 1.63-1.66
B (0.9348, 0.4348, 0.5000)  2 C 1.65, 2 B 1.83
C (0.1511, 0.6511, 0.5000)  4 B 1.63-1.64
C (0.3425, 0.8425, 0.5000)  4 C 1.50-1.59
C (0.3842, 0.3842, 0.0000)  2 C 1.50, 2 B 1.65
C (0.5483, 0.0483, 0.5000)  4 B 1.62-1.66
C (0.7551, 0.2551, 0.5000)  2 C 1.50, 2 B 1.66
C (0.7967, 0.7967, 0.0000)  4 C 1.50-1.59

Computed properties:
* N(E_F): 1.860 states/eV per cell
* crystal system: orthorhombic
* energy above the most stable polymorph in this dataset: 115 meV/atom
* raw total energy: -78.5 eV/cell
* symmetry: Imm2 (44)
* ΔH_f (0 K): 0.351 eV/atom


(10)
This record from Alexandria describes a geometry-optimized Pm7Si2Ir structure. The functional is PBE.

abc: 5.0294 5.0294 12.8684
angles: 90.00 90.00 120.00
Closest atoms and distances in Å follow each position.
Element x y z (fractional)
Pm (0.0000, 0.0000, 0.0000)  8 Pm 3.30-3.63, 3 Ir 3.38
Pm (0.0000, 0.0000, 0.2568)  1 Si 2.96, 4 Pm 3.29-3.30, 3 Ir 3.31
Pm (0.0000, 0.0000, 0.7181)  4 Si 2.98-3.13
Pm (0.3333, 0.6667, 0.4004)  3 Si 3.11, 1 Ir 3.43, 3 Pm 3.44
Pm (0.3333, 0.6667, 0.8780)  3 Si 3.03, 1 Ir 3.30, 3 Pm 3.30
Pm (0.6667, 0.3333, 0.1362)  3 Ir 2.90
Pm (0.6667, 0.3333, 0.5622)  4 Si 3.06-3.18
Si (0.0000, 0.0000, 0.4865)  8 Pm 2.96-3.11
Si (0.6667, 0.3333, 0.8094)  7 Pm 3.03-3.18
Ir (0.3333, 0.6667, 0.1341)  3 Pm 2.90

Computed properties:
* N(E_F): 8.736 states/eV per cell
* crystal system: trigonal
* raw total energy: -56.1 eV/cell
* symmetry: P3m1 (156)
* formation energy without anion corrections: -0.316 eV/atom


(11)
This record from Alexandria describes a geometry-optimized EuErCdGe structure. The functional is PBE.

abc: 7.4015 7.4015 7.4015
angles: 90.00 90.00 90.00
Closest atoms and distances in Å follow each position.
Element x y z (fractional)
Eu (0.0000, 0.0000, 0.0000)  4 Ge 3.20, 4 Cd 3.20
Eu (0.0000, 0.5000, 0.5000)  4 Ge 3.20, 4 Cd 3.20
Eu (0.5000, 0.0000, 0.5000)  4 Ge 3.20, 4 Cd 3.20
Eu (0.5000, 0.5000, 0.0000)  4 Ge 3.20, 4 Cd 3.20
Er (0.0000, 0.0000, 0.5000)  4 Cd 3.20, 4 Ge 3.20
Er (0.0000, 0.5000, 0.0000)  4 Cd 3.20, 4 Ge 3.20
Er (0.5000, 0.0000, 0.0000)  4 Cd 3.20, 4 Ge 3.20
Er (0.5000, 0.5000, 0.5000)  4 Cd 3.20, 4 Ge 3.20
Cd (0.2500, 0.2500, 0.7500)  4 Er 3.20, 4 Eu 3.20
Cd (0.2500, 0.7500, 0.2500)  4 Er 3.20, 4 Eu 3.20
Cd (0.7500, 0.2500, 0.2500)  4 Er 3.20, 4 Eu 3.20
Cd (0.7500, 0.7500, 0.7500)  4 Er 3.20, 4 Eu 3.20
Ge (0.2500, 0.2500, 0.2500)  4 Er 3.20, 4 Eu 3.20
Ge (0.2500, 0.7500, 0.7500)  4 Er 3.20, 4 Eu 3.20
Ge (0.7500, 0.2500, 0.7500)  4 Er 3.20, 4 Eu 3.20
Ge (0.7500, 0.7500, 0.2500)  4 Er 3.20, 4 Eu 3.20

Computed properties:
* N(E_F): 11.356 states/eV per cell
* crystal system: cubic
* raw total energy: -88.6 eV/cell
* symmetry: F-43m (216)
* ΔH_f (0 K): -0.442 eV/atom


(12)
This record from Alexandria describes a geometry-optimized LaDyTm5 structure. The functional is PBE.

abc: 5.7664 8.5666 11.8004
angles: 90.00 90.00 90.00
Closest atoms and distances in Å follow each position.
Element x y z (fractional)
La (0.0000, 0.0000, 0.0000)  6 Tm 3.01-3.26
La (0.5000, 0.5000, 0.5000)  6 Tm 3.01-3.26
Dy (0.0000, 0.0000, 0.5000)  6 Tm 2.75-2.89
Dy (0.5000, 0.5000, 0.0000)  6 Tm 2.75-2.89
Tm (0.0000, 0.0000, 0.2548)  1 Dy 2.89, 1 La 3.01
Tm (0.0000, 0.0000, 0.7452)  1 Dy 2.89, 1 La 3.01
Tm (0.0000, 0.3213, 0.5000)  1 Dy 2.75, 1 Tm 3.06
Tm (0.0000, 0.5000, 0.0000)  2 Dy 2.88
Tm (0.0000, 0.6787, 0.5000)  1 Dy 2.75, 1 Tm 3.06
Tm (0.5000, 0.0000, 0.5000)  2 Dy 2.88
Tm (0.5000, 0.1787, 0.0000)  1 Dy 2.75, 1 Tm 3.06
Tm (0.5000, 0.5000, 0.2452)  1 Dy 2.89, 1 La 3.01
Tm (0.5000, 0.5000, 0.7548)  1 Dy 2.89, 1 La 3.01
Tm (0.5000, 0.8213, 0.0000)  1 Dy 2.75, 1 Tm 3.06

Computed properties:
* N(E_F): 18.656 states/eV per cell
* crystal system: orthorhombic
* energy above the most stable polymorph in this dataset: 978 meV/atom
* raw total energy: -47.6 eV/cell
* symmetry: Immm (71)
* ΔH_f (0 K): 1.156 eV/atom